# PBE BePSe2, relaxed
data_BePSe2
_cell_length_a 3.174
_cell_length_b 3.174
_cell_length_c 6.435
_cell_angle_alpha 90.00
_cell_angle_beta 90.00
_cell_angle_gamma 90.00
_symmetry_space_group_name_H-M 'P 4/m m m'
_symmetry_Int_Tables_number 123
_symmetry_space_group_name_Hall '-P 4 2'
loop_
_atom_site_label
_atom_site_type_symbol
_atom_site_fract_x
_atom_site_fract_y
_atom_site_fract_z
_atom_site_occupancy
Be1 Be 0.000 0.000 0.000 1
P1 P 0.000 0.000 0.500 1
Se1 Se 0.500 0.500 0.232 1
# - D(E_F) (states/eV per atom) = 0.624
# - ΔE to the lowest computed polymorph (meV per atom) = 680
# - uncorrected formation energy (eV per atom) = 0.615